# 1
RbYCrSn2 (GGA-PBE, relaxed); total energy = -2.763 eV per atom
1.0
-4.876 2.000 -2.392
-1.978 -4.954 -0.110
-2.262 0.786 5.269
Cr Sn Y Rb
1 2 1 1
direct
0.500 0.500 0.500 Cr
0.500 0.000 0.000 Sn
0.000 0.000 0.500 Sn
0.000 0.500 0.000 Y
0.000 0.000 0.000 Rb

# 2
YFe3Sb (GGA-PBE, relaxed); excess energy over the best structure of this formula in the dataset = 892.8 meV per atom; raw formation energy = 7.94 eV per formula unit
1.0
-4.484 -1.386 0.807
-0.703 -0.454 -4.688
1.441 -4.533 0.223
Fe Sb Y
3 1 1
direct
0.000 0.500 0.000 Fe
0.500 0.000 0.000 Fe
0.000 0.000 0.500 Fe
0.500 0.500 0.500 Sb
0.000 0.000 0.000 Y

# 3
SbMo2P (GGA-PBE, relaxed); excess energy over the best structure of this formula in the dataset = 197.8 meV per atom; raw formation energy = 0.27 eV per formula unit
1.0
3.505 0.000 0.000
0.000 3.250 0.003
0.000 1.446 5.959
P Mo Sb
1 2 1
direct
0.500 0.500 0.000 P
0.000 0.146 0.221 Mo
0.000 0.854 0.779 Mo
0.500 0.500 0.500 Sb

Total magnetization (computed, μB/cell): 0.7 7.0 0.0